Entry from Alexandria via LeMat-Bulk: a relaxed structure of Ti4TeH (PBE).

The structure belongs to space group P-1 (No. 2); the cell edges are 5.1123, 5.2515 and 7.4998 Å and the angles 69.67°, 81.89° and 89.31°. Symmetry generates all atoms from Ti at (0.1870, 0.1739, 0.4131), Ti at (0.1969, 0.7159, 0.2137), Ti at (0.2895, 0.9329, 0.7836), Ti at (0.3122, 0.5774, 0.5901), Te at (0.2545, 0.2823, 0.0023), H at (0.0000, 0.5000, 0.5000) and H at (0.5000, 0.0000, 0.5000).

The size of the total moment is 0.0 μB/f.u. For the calculated total energy, the calculation gives -6.55 eV per atom.

---

Entry from Alexandria via LeMat-Bulk: a relaxed structure of Pa2HgPtO8 (PBE).

The structure belongs to space group Cmmm (No. 65); the cell edges are 6.8547, 6.9234 and 7.2801 Å and the angles 90.00°, 90.00° and 90.00°. Symmetry generates all atoms from Pa at (0.0000, 0.0000, 0.2457), Hg at (0.0000, 0.5000, 0.5000), Pt at (0.0000, 0.5000, 0.0000), O at (0.0000, 0.3020, 0.2070), O at (0.1823, 0.0000, 0.5000) and O at (0.2015, 0.0000, 0.0000).

The raw formation energy comes out at -2.185 eV/atom. The size of the total moment is 0.0 μB/f.u. For the calculated total energy, the calculation gives -7.60 eV per atom.

---

Entry from Alexandria via LeMat-Bulk: a relaxed structure of In2ReTc (PBE).

The structure belongs to space group Immm (No. 71); the cell edges are 3.1301, 4.9104 and 9.2654 Å and the angles 90.00°, 90.00° and 90.00°. Symmetry generates all atoms from In at (0.0000, 0.0000, 0.2480), Re at (0.0000, 0.5000, 0.0000) and Tc at (0.0000, 0.5000, 0.5000).

As for the energy above the most stable polymorph in this dataset: 519.1 meV per atom. The size of the total moment is 0.0 μB/f.u. The calculation puts the formation enthalpy at 0 K at 0.641 eV per atom. For the calculated total energy, the calculation gives -6.43 eV per atom.

---

Entry from Alexandria via LeMat-Bulk: a relaxed structure of Y3ErC (PBE).

The structure belongs to space group Pm-3m (No. 221); the cell edges are 5.0641, 5.0641 and 5.0641 Å and the angles 90.00°, 90.00° and 90.00°. Symmetry generates all atoms from Y at (0.0000, 0.0000, 0.5000), Er at (0.5000, 0.5000, 0.5000) and C at (0.0000, 0.0000, 0.0000).

The size of the total moment is 0.0 μB/f.u. The calculation puts the formation enthalpy at 0 K at -0.023 eV per atom. For the calculated total energy, the calculation gives -6.66 eV per atom.

---

Entry from Alexandria via LeMat-Bulk: a relaxed structure of MgTaSCl2 (PBE).

The structure belongs to space group P4/mmm (No. 123); the cell edges are 4.8930, 4.8930 and 4.8251 Å and the angles 90.00°, 90.00° and 90.00°. Symmetry generates all atoms from Mg at (0.0000, 0.0000, 0.0000), Ta at (0.5000, 0.5000, 0.5000), S at (0.5000, 0.5000, 0.0000) and Cl at (0.0000, 0.5000, 0.5000).

As for the energy above the most stable polymorph in this dataset: 0.0 meV per atom. The raw formation energy comes out at -0.449 eV/atom. The size of the total moment is 0.2 μB/f.u. For the calculated total energy, the calculation gives -4.70 eV per atom.

---

Entry from Alexandria via LeMat-Bulk: a relaxed structure of YScHg2 (PBE).

The structure belongs to space group I-4m2 (No. 119); the cell edges are 4.3702, 4.3702 and 10.0916 Å and the angles 90.00°, 90.00° and 90.00°. Symmetry generates all atoms from Y at (0.0000, 0.0000, 0.0000), Sc at (0.0000, 0.5000, 0.2500), Hg at (0.0000, 0.0000, 0.5000) and Hg at (0.0000, 0.5000, 0.7500).

As for the energy above the most stable polymorph in this dataset: 182.8 meV per atom. The size of the total moment is 0.0 μB/f.u. The calculation puts the formation enthalpy at 0 K at -0.283 eV per atom. For the calculated total energy, the calculation gives -3.63 eV per atom.

---

Entry from Alexandria via LeMat-Bulk: a relaxed structure of PmPrN2 (PBE).

The structure belongs to space group R-3m (No. 166, hexagonal axes); the cell edges are 3.8834, 3.8834 and 20.4087 Å and the angles 90.00°, 90.00° and 120.00°. Symmetry generates all atoms from Pm at (0.0000, 0.0000, 0.0000), Pr at (0.0000, 0.0000, 0.5000) and N at (0.0000, 0.0000, 0.1074).

As for the energy above the most stable polymorph in this dataset: 894.9 meV per atom. The raw formation energy comes out at -0.463 eV/atom. The size of the total moment is 0.7 μB/f.u. For the calculated total energy, the calculation gives -7.01 eV per atom.

---

Entry from Alexandria via LeMat-Bulk: a relaxed structure of Ho6Er8Cd (PBE).

The structure belongs to space group P-3 (No. 147); the cell edges are 9.0976, 9.0976 and 6.6543 Å and the angles 90.00°, 90.00° and 120.00°. Symmetry generates all atoms from Ho at (0.0813, 0.4006, 0.1033), Er at (0.0164, 0.6862, 0.3898), Er at (0.3333, 0.6667, 0.6837) and Cd at (0.0000, 0.0000, 0.0000).

The size of the total moment is 0.0 μB/f.u. The calculation puts the formation enthalpy at 0 K at 0.232 eV per atom. For the calculated total energy, the calculation gives -4.09 eV per atom.

---

Entry from Alexandria via LeMat-Bulk: a relaxed structure of TiCuBBr2 (PBE).

The structure belongs to space group P4/mmm (No. 123); the cell edges are 5.1479, 5.1479 and 4.2572 Å and the angles 90.00°, 90.00° and 90.00°. Symmetry generates all atoms from Ti at (0.0000, 0.0000, 0.0000), Cu at (0.5000, 0.5000, 0.5000), B at (0.0000, 0.0000, 0.5000) and Br at (0.0000, 0.5000, 0.0000).

The raw formation energy comes out at 0.668 eV/atom. The size of the total moment is 0.6 μB/f.u. For the calculated total energy, the calculation gives -3.74 eV per atom.

---

Entry from Alexandria via LeMat-Bulk: a relaxed structure of TlInSn3 (PBE).

The structure belongs to space group Cmcm (No. 63); the cell edges are 6.3790, 16.3735 and 6.0514 Å and the angles 90.00°, 90.00° and 90.00°. Symmetry generates all atoms from Tl at (0.0000, 0.1858, 0.2500), In at (0.0000, 0.4371, 0.7500), Sn at (0.0000, 0.0000, 0.0000) and Sn at (0.2382, 0.3655, 0.2500).

As for the energy above the most stable polymorph in this dataset: 94.9 meV per atom. The size of the total moment is 0.0 μB/f.u. The calculation puts the formation enthalpy at 0 K at 0.132 eV per atom. For the calculated total energy, the calculation gives -3.29 eV per atom.

---

Entry from Alexandria via LeMat-Bulk: a relaxed structure of CrMoCl2 (PBE).

The structure belongs to space group R-3m (No. 166, hexagonal axes); the cell edges are 3.1266, 3.1266 and 29.7976 Å and the angles 90.00°, 90.00° and 120.00°. Symmetry generates all atoms from Cr at (0.0000, 0.0000, 0.0000), Mo at (0.0000, 0.0000, 0.5000) and Cl at (0.0000, 0.0000, 0.2245).

As for the energy above the most stable polymorph in this dataset: 522.2 meV per atom. The raw formation energy comes out at 0.297 eV/atom. The size of the total moment is 4.8 μB/f.u. For the calculated total energy, the calculation gives -5.74 eV per atom.

---

Entry from Alexandria via LeMat-Bulk: a relaxed structure of Rb2CdP (PBE).

The structure belongs to space group I-42d (No. 122); the cell edges are 6.0587, 6.0587 and 21.5905 Å and the angles 90.00°, 90.00° and 90.00°. Symmetry generates all atoms from Rb at (0.2083, 0.2500, 0.1250), Cd at (0.0000, 0.0000, 0.5000) and P at (0.0000, 0.0000, 0.0000).

As for the energy above the most stable polymorph in this dataset: 235.9 meV per atom. The size of the total moment is 1.0 μB/f.u. The calculation puts the formation enthalpy at 0 K at 0.350 eV per atom. For the calculated total energy, the calculation gives -1.72 eV per atom.

---

Entry from Alexandria via LeMat-Bulk: a relaxed structure of CsZnHg (PBE).

The structure belongs to space group C2/m (No. 12); the cell edges are 15.0918, 4.6703 and 7.0887 Å and the angles 90.00°, 108.01° and 90.00°. Symmetry generates all atoms from Cs at (0.1014, 0.0000, 0.3153), Zn at (0.2214, 0.0000, 0.9003) and Hg at (0.1161, 0.5000, 0.7686).

As for the energy above the most stable polymorph in this dataset: 0.0 meV per atom. The size of the total moment is 0.0 μB/f.u. The calculation puts the formation enthalpy at 0 K at -0.086 eV per atom. For the calculated total energy, the calculation gives -0.90 eV per atom.